Crystalline LaTbEr3Th at its relaxed geometry. Source: Alexandria, functional PBE.

```
LaTbEr3Th
1.0
7.9779 0.0000 0.0000
0.0000 5.0613 0.0000
-3.3061 0.0000 9.5914
La Tb Er Th
2 2 6 2
direct
0.1691 0.2500 0.2920
0.8309 0.7500 0.7080
0.4988 0.2500 0.6292
0.5012 0.7500 0.3708
0.1693 0.7500 0.5451
0.1753 0.7500 0.0416
0.1768 0.2500 0.7941
0.8232 0.7500 0.2059
0.8247 0.2500 0.9584
0.8307 0.2500 0.4549
0.4982 0.7500 0.8787
0.5018 0.2500 0.1213
```

Summary:
final energy = -60.898 eV per cell
DOS(E_F) = 9.58 states/eV/f.u.
space group = P2_1/m (11)
formation enthalpy at 0 K = 21 kJ/mol of formula units

Crystalline LaTb2ErTl2 at its relaxed geometry. Source: Alexandria, functional PBE.

```
LaTb2ErTl2
1.0
5.1898 0.0000 0.0000
0.0000 10.1346 0.0000
0.0000 0.0000 6.8526
La Tb Er Tl
2 4 2 4
direct
0.0000 0.0434 0.0000
0.0000 0.9566 0.5000
0.0000 0.3197 0.3801
0.0000 0.6803 0.8801
0.5000 0.4542 0.0943
0.5000 0.5458 0.5943
0.5000 0.1956 0.7225
0.5000 0.8044 0.2225
0.0000 0.3657 0.8416
0.0000 0.6343 0.3416
0.5000 0.1387 0.2672
0.5000 0.8613 0.7672
```

Summary:
final energy = -50.183 eV per cell
DOS(E_F) = 6.53 states/eV/f.u.
space group = Pmc2_1 (26)
formation enthalpy at 0 K = -155 kJ/mol of formula units

Crystalline LaTbErTl at its relaxed geometry. Source: Alexandria, functional PBE.

```
LaTbErTl
1.0
4.8645 0.0000 0.0000
0.0000 4.8645 0.0000
0.0000 0.0000 10.2129
La Tb Er Tl
2 2 2 2
direct
0.0000 0.0000 0.0000
0.5000 0.5000 0.5000
0.0000 0.5000 0.7500
0.5000 0.0000 0.2500
0.0000 0.5000 0.2500
0.5000 0.0000 0.7500
0.0000 0.0000 0.5000
0.5000 0.5000 0.0000
```

Summary:
final energy = -33.926 eV per cell
DOS(E_F) = 7.18 states/eV/f.u.
space group = I-4m2 (119)
formation enthalpy at 0 K = -46 kJ/mol of formula units

Crystalline La2TbErTl2 at its relaxed geometry. Source: Alexandria, functional PBE.

```
La2TbErTl2
1.0
5.1081 0.0000 0.0000
0.0000 10.2744 0.0000
0.0000 0.0000 6.9804
La Tb Er Tl
4 2 2 4
direct
0.0000 0.0617 0.0000
0.0000 0.9383 0.5000
0.5000 0.1774 0.2231
0.5000 0.8226 0.7231
0.5000 0.4572 0.8701
0.5000 0.5428 0.3701
0.0000 0.3070 0.5794
0.0000 0.6930 0.0794
0.0000 0.3905 0.1328
0.0000 0.6095 0.6328
0.5000 0.1509 0.7081
0.5000 0.8491 0.2081
```

Summary:
final energy = -50.995 eV per cell
DOS(E_F) = 5.80 states/eV/f.u.
space group = Pmc2_1 (26)
formation enthalpy at 0 K = -166 kJ/mol of formula units

Crystalline LaTbErTl at its relaxed geometry. Source: Alexandria, functional PBE.

```
LaTbErTl
1.0
7.8691 0.0000 0.0000
0.0000 7.8691 0.0000
0.0000 0.0000 7.8691
La Tb Er Tl
4 4 4 4
direct
0.0000 0.0000 0.0000
0.0000 0.5000 0.5000
0.5000 0.0000 0.5000
0.5000 0.5000 0.0000
0.0000 0.0000 0.5000
0.0000 0.5000 0.0000
0.5000 0.0000 0.0000
0.5000 0.5000 0.5000
0.2500 0.2500 0.7500
0.2500 0.7500 0.2500
0.7500 0.2500 0.2500
0.7500 0.7500 0.7500
0.2500 0.2500 0.2500
0.2500 0.7500 0.7500
0.7500 0.2500 0.7500
0.7500 0.7500 0.2500
```

Summary:
final energy = -67.115 eV per cell
DOS(E_F) = 5.44 states/eV/f.u.
space group = F-43m (216)
formation enthalpy at 0 K = -28 kJ/mol of formula units

Crystalline La4TbErTm2 at its relaxed geometry. Source: Alexandria, functional PBE.

```
La4TbErTm2
1.0
5.2273 0.0000 0.0000
0.0000 5.2460 0.0000
0.0000 0.0000 9.8362
La Tb Er Tm
4 1 1 2
direct
0.0000 0.0000 0.2490
0.0000 0.0000 0.7510
0.5000 0.5000 0.2487
0.5000 0.5000 0.7513
0.0000 0.5000 0.5000
0.5000 0.0000 0.0000
0.0000 0.5000 0.0000
0.5000 0.0000 0.5000
```

Summary:
final energy = -37.666 eV per cell
DOS(E_F) = 10.57 states/eV/f.u.
space group = Pmmm (47)
formation enthalpy at 0 K = 17 kJ/mol of formula units